# 1
{
  "formula": "Ir2RuW",
  "functional": "GGA-PBE",
  "state": "relaxed",
  "crystal_system": "tetragonal",
  "e_form_ev_per_atom": -0.190,
  "e_above_lowest_polymorph_kj_per_mol_atoms": 7.36,
  "cell": [[-2.9738, -2.1235, -3.0212], [2.4840, -2.9436, -2.7650], [-0.1468, 0.4943, 4.7121]],
  "species": ["Ru", "Ir", "Ir", "W"],
  "frac_coords": [[0.5000, 0.5000, 0.0000], [0.9999, 0.9999, 0.0000], [0.7500, 0.2500, 0.5000], [0.2500, 0.7500, 0.5000]]
}

---

# 2
{
  "formula": "Ti6CN3",
  "functional": "GGA-PBE",
  "state": "relaxed",
  "formation_energy_uncorrected_ev_per_atom": -1.245,
  "crystal_system": "monoclinic",
  "e_above_lowest_polymorph_kj_per_mol_atoms": 0.00,
  "cell": [[2.9939, 0.0000, 0.0000], [0.0000, 9.3613, -0.3709], [0.0000, -3.4944, 8.1753]],
  "species": ["Ti", "Ti", "Ti", "Ti", "Ti", "Ti", "Ti", "Ti", "Ti", "Ti", "Ti", "Ti", "C", "C", "N", "N", "N", "N", "N", "N"],
  "frac_coords": [[0.7500, 0.4315, 0.6064], [0.2500, 0.5685, 0.3936], [0.7500, 0.9288, 0.0921], [0.2500, 0.0712, 0.9079], [0.7500, 0.3926, 0.0656], [0.2500, 0.6074, 0.9344], [0.7500, 0.7420, 0.2545], [0.2500, 0.2580, 0.7455], [0.7500, 0.0940, 0.4515], [0.2500, 0.9060, 0.5485], [0.7500, 0.7653, 0.7360], [0.2500, 0.2347, 0.2640], [0.7500, 0.0711, 0.7043], [0.2500, 0.9289, 0.2957], [0.7500, 0.4318, 0.8446], [0.2500, 0.5682, 0.1554], [0.7500, 0.7297, 0.4832], [0.2500, 0.2703, 0.5168], [0.7500, 0.1601, 0.0856], [0.2500, 0.8399, 0.9144]]
}

---

# 3
{
  "formula": "LaEuRu",
  "functional": "GGA-PBE",
  "state": "relaxed",
  "crystal_system": "tetragonal",
  "e_form_ev_per_atom": -0.067,
  "e_above_lowest_polymorph_kj_per_mol_atoms": 0.00,
  "cell": [[-1.8618, -2.9128, 0.7792], [2.3472, -1.9749, -1.7744], [3.4149, 1.6397, 6.2307]],
  "species": ["Eu", "Ru", "La"],
  "frac_coords": [[0.0388, 0.0388, 0.0776], [0.6734, 0.6734, 0.3468], [0.2878, 0.2878, 0.5756]]
}

---

# 4
{
  "formula": "YHo8Sc6",
  "functional": "GGA-PBE",
  "state": "relaxed",
  "crystal_system": "trigonal",
  "e_form_ev_per_atom": 0.190,
  "e_above_lowest_polymorph_kj_per_mol_atoms": 0.00,
  "cell": [[9.3269, 0.0000, 0.0000], [4.6635, 8.0773, 0.0000], [4.6635, 2.6924, 5.7563]],
  "species": ["Y", "Ho", "Ho", "Ho", "Ho", "Ho", "Ho", "Ho", "Ho", "Sc", "Sc", "Sc", "Sc", "Sc", "Sc"],
  "frac_coords": [[0.0000, 0.0000, 0.0000], [0.3653, 0.2273, 0.4744], [0.7727, 0.0670, 0.5256], [0.0670, 0.6347, 0.5256], [0.5908, 0.5908, 0.2276], [0.4092, 0.4092, 0.7724], [0.9330, 0.3653, 0.4744], [0.2273, 0.9330, 0.4744], [0.6347, 0.7727, 0.5256], [0.3888, 0.9424, 0.9587], [0.0576, 0.2900, 0.0413], [0.2900, 0.6112, 0.0413], [0.7100, 0.3888, 0.9587], [0.9424, 0.7100, 0.9587], [0.6112, 0.0576, 0.0413]]
}

---

# 5
{
  "formula": "TlP2PdO6",
  "functional": "GGA-PBE",
  "state": "relaxed",
  "formation_energy_uncorrected_ev_per_atom": -1.318,
  "crystal_system": "trigonal",
  "cell": [[-4.7253, 3.2490, 0.3262], [-4.4200, -1.6787, 3.2613], [-0.6479, 3.5327, 5.9982]],
  "species": ["Tl", "P", "P", "Pd", "O", "O", "O", "O", "O", "O"],
  "frac_coords": [[0.0000, 0.0000, 0.0000], [0.7581, 0.7581, 0.7256], [0.2419, 0.2419, 0.2744], [0.5000, 0.5000, 0.5000], [0.0445, 0.5296, 0.7223], [0.7035, 0.0445, 0.7223], [0.4704, 0.2965, 0.2777], [0.9555, 0.4704, 0.2777], [0.2965, 0.9555, 0.2777], [0.5296, 0.7035, 0.7223]]
}

---

# 6
{
  "formula": "RbCrS2",
  "functional": "GGA-PBE",
  "state": "relaxed",
  "formation_energy_uncorrected_ev_per_atom": -0.828,
  "crystal_system": "triclinic",
  "cell": [[3.4198, -0.0103, 0.0027], [-1.7841, 6.7509, -0.1438], [-1.6388, -4.0066, 8.3039]],
  "species": ["Cr", "Cr", "S", "S", "S", "S", "Rb", "Rb"],
  "frac_coords": [[0.1265, 0.1772, 0.9222], [0.4860, 0.1472, 0.6595], [0.1872, 0.4021, 0.8002], [0.7865, 0.3026, 0.1198], [0.4253, 0.9223, 0.7815], [0.8259, 0.0217, 0.4619], [0.0490, 0.8087, 0.1146], [0.5640, 0.5156, 0.4671]]
}

---

no.,DOS at the Fermi energy (states/eV per cell)
1,3.05
2,11.09
3,9.54
4,23.87
5,3.48
6,3.12